Here is an optimized crystal structure of TmNbPd from the Open Quantum Materials Database. Energies are from PBE-GGA.

Properties
* mass density: 8.978 g cm⁻³
* energy of formation: 119 meV/atom
* crystal system: cubic
* VASP energy: -6.46 eV per atom

a b c (Å): 4.584 4.584 4.584
angles (deg): 60.00 60.00 60.00
Element x y z (fractional)
Tm 0.000 0.000 0.000
Nb 0.500 0.500 0.500
Pd 0.750 0.750 0.750